Record 1
First-principles (PBE) data for a relaxed BaCaEuNbO6 crystal, as listed in Alexandria via LeMat-Bulk.

Computed properties:
ΔE_f (raw) = -2.67 eV/atom
ρ = 5.6 g cm⁻³
DOS at the Fermi energy = 11.07 states/eV per cell
space-group type = No. 216
polymorph energy (0 for the lowest one) = 0.1109 eV/atom

abc: 6.003 6.003 6.003
angles: 60.00 60.00 60.00
Sites, in units of the cell vectors:
Ba1 0.000 0.000 0.000
Ca1 0.750 0.750 0.750
Eu1 0.500 0.500 0.500
Nb1 0.250 0.250 0.250
O1 0.014 0.014 0.486
O2 0.014 0.486 0.014
O3 0.014 0.486 0.486
O4 0.486 0.014 0.014
O5 0.486 0.014 0.486
O6 0.486 0.486 0.014

Record 2
First-principles (PBE) data for a relaxed Ba2GaAgAu crystal, as listed in Alexandria via LeMat-Bulk.

Computed properties:
E_form = -16 kJ/mol of atoms
ρ = 5.5 g cm⁻³
DOS at the Fermi energy = 5.79 states/eV per cell
space-group type = No. 123

abc: 6.386 6.386 4.784
angles: 90.00 90.00 90.00
Sites, in units of the cell vectors:
Ba1 0.000 0.500 0.000
Ba2 0.500 0.000 0.000
Ga1 0.000 0.000 0.000
Ag1 0.500 0.500 0.500
Au1 0.000 0.000 0.500

Record 3
First-principles (PBE) data for a relaxed NbGa2Hg crystal, as listed in Alexandria via LeMat-Bulk.

Computed properties:
E_form = 27 kJ/mol of atoms
ρ = 9.2 g cm⁻³
DOS at the Fermi energy = 14.04 states/eV per cell
space-group type = No. 122

abc: 7.292 7.292 5.879
angles: 90.00 90.00 90.00
Sites, in units of the cell vectors:
Nb1 0.000 0.000 0.000
Nb2 0.000 0.500 0.250
Nb3 0.500 0.000 0.750
Nb4 0.500 0.500 0.500
Ga1 0.246 0.250 0.625
Ga2 0.250 0.746 0.875
Ga3 0.250 0.754 0.375
Ga4 0.254 0.250 0.125
Ga5 0.746 0.750 0.125
Ga6 0.750 0.246 0.375
Ga7 0.750 0.254 0.875
Ga8 0.754 0.750 0.625
Hg1 0.000 0.000 0.500
Hg2 0.000 0.500 0.750
Hg3 0.500 0.000 0.250
Hg4 0.500 0.500 0.000

Record 4
First-principles (PBE) data for a relaxed Nb4Ge2P crystal, as listed in Alexandria via LeMat-Bulk.

Computed properties:
E_form = 20 kJ/mol of atoms
ρ = 6.6 g cm⁻³
DOS at the Fermi energy = 16.64 states/eV per cell
space-group type = No. 139

abc: 4.467 4.467 13.786
angles: 90.00 90.00 90.00
Sites, in units of the cell vectors:
Nb1 0.000 0.000 0.175
Nb2 0.000 0.000 0.825
Nb3 0.000 0.500 0.000
Nb4 0.000 0.500 0.500
Nb5 0.500 0.000 0.000
Nb6 0.500 0.000 0.500
Nb7 0.500 0.500 0.325
Nb8 0.500 0.500 0.675
Ge1 0.000 0.000 0.364
Ge2 0.000 0.000 0.636
Ge3 0.500 0.500 0.136
Ge4 0.500 0.500 0.864
P1 0.000 0.000 0.000
P2 0.500 0.500 0.500

Record 5
First-principles (PBE) data for a relaxed KRePb2 crystal, as listed in Alexandria via LeMat-Bulk.

Computed properties:
E_form = 109 kJ/mol of atoms
ρ = 10.2 g cm⁻³
DOS at the Fermi energy = 6.33 states/eV per cell
space-group type = No. 119
polymorph energy (0 for the lowest one) = 0.6557 eV/atom

abc: 4.512 4.512 10.255
angles: 90.00 90.00 90.00
Sites, in units of the cell vectors:
K1 0.000 0.000 0.000
K2 0.500 0.500 0.500
Re1 0.000 0.500 0.250
Re2 0.500 0.000 0.750
Pb1 0.000 0.000 0.500
Pb2 0.000 0.500 0.750
Pb3 0.500 0.000 0.250
Pb4 0.500 0.500 0.000

Record 6
First-principles (PBE) data for a relaxed Cs2AgHgI5 crystal, as listed in Alexandria via LeMat-Bulk.

Computed properties:
ΔE_f (raw) = -0.84 eV/atom
ρ = 4.4 g cm⁻³
space-group type = No. 36

abc: 11.676 11.676 16.763
angles: 90.00 90.00 156.22
Sites, in units of the cell vectors:
Cs1 0.074 0.926 0.500
Cs2 0.166 0.834 0.179
Cs3 0.834 0.166 0.679
Cs4 0.926 0.074 0.000
Ag1 0.263 0.737 0.965
Ag2 0.737 0.263 0.465
Hg1 0.440 0.560 0.231
Hg2 0.560 0.440 0.731
I1 0.058 0.942 0.832
I2 0.296 0.704 0.498
I3 0.336 0.664 0.138
I4 0.355 0.645 0.854
I5 0.466 0.534 0.620
I6 0.534 0.466 0.120
I7 0.645 0.355 0.354
I8 0.664 0.336 0.638
I9 0.704 0.296 0.998
I10 0.942 0.058 0.332

What is the ρ in the second record? 5.5 g cm⁻³

Number 3 is which compound? NbGa2Hg